1.
Computed, not measured: a geometry-optimized Re3Ag structure at the PBE level of DFT.

Output
density of states at the Fermi level	3.436	states/eV/cell
symmetry	Pm-3m
energy relative to the elements	0.594	eV per atom

a = 3.9389 Å, b = 3.9389 Å, c = 3.9376 Å
α = 90.00°, β = 90.00°, γ = 90.00°
With the nearest neighbours (Å) after each atom.
Fractional positions:
Re: 0.0000 0.5000 0.5000  8 Re 2.78-2.79, 4 Ag 2.78
Re: 0.5000 0.0000 0.5000  8 Re 2.78-2.79, 4 Ag 2.78
Re: 0.5000 0.5000 0.0000  8 Re 2.78, 4 Ag 2.79
Ag: 0.0000 0.0000 0.0000  12 Re 2.78-2.79

***

2.
Computed, not measured: a geometry-optimized PmHo8Al2 structure at the PBE level of DFT.

Output
density of states at the Fermi level	16.124	states/eV/cell
symmetry	C2/m
energy relative to the elements	0.312	eV per atom

a = 5.1244 Å, b = 8.5972 Å, c = 8.5972 Å
α = 77.20°, β = 81.94°, γ = 81.94°
With the nearest neighbours (Å) after each atom.
Fractional positions:
Pm: 0.0000 0.0000 0.0000  4 Al 2.98, 2 Ho 3.08
Ho: 0.7765 0.1615 0.6348  1 Al 3.06, 1 Ho 3.36, 1 Pm 3.42
Ho: 0.2235 0.3652 0.8385  1 Al 3.06, 1 Ho 3.36, 1 Pm 3.42
Ho: 0.8866 0.2327 0.2327  2 Al 2.98-3.01, 1 Pm 3.08
Ho: 0.1134 0.7673 0.7673  2 Al 2.98-3.01, 1 Pm 3.08
Ho: 0.7765 0.6348 0.1615  1 Al 3.06, 1 Ho 3.36, 1 Pm 3.42
Ho: 0.2235 0.8385 0.3652  1 Al 3.06, 1 Ho 3.36, 1 Pm 3.42
Ho: 0.2876 0.4165 0.4165  10 Ho 3.37-3.69
Ho: 0.7124 0.5835 0.5835  10 Ho 3.37-3.69
Al: 0.4459 0.1155 0.1155  4 Ho 2.98-3.06, 2 Pm 2.98, 1 Al 3.05
Al: 0.5541 0.8845 0.8845  4 Ho 2.98-3.06, 2 Pm 2.98, 1 Al 3.05

***

3.
Computed, not measured: a geometry-optimized NiPtPb3 structure at the PBE level of DFT.

Output
density of states at the Fermi level	6.039	states/eV/cell
symmetry	Pm-3m
energy relative to the elements	0.662	eV per atom

a = 5.3641 Å, b = 5.3641 Å, c = 5.3641 Å
α = 90.00°, β = 90.00°, γ = 90.00°
With the nearest neighbours (Å) after each atom.
Fractional positions:
Pb: 0.0000 0.5000 0.0000  2 Pt 2.68
Pb: 0.0000 0.0000 0.5000  2 Pt 2.68
Pb: 0.5000 0.0000 0.0000  2 Pt 2.68
Ni: 0.5000 0.5000 0.5000  12 Pb 3.79
Pt: 0.0000 0.0000 0.0000  6 Pb 2.68

***

4.
Computed, not measured: a geometry-optimized TiTlP2S8 structure at the PBE level of DFT.

Output
density of states at the Fermi level	9.040	states/eV/cell
symmetry	P-3m1
uncorrected formation energy	-197	meV per atom

a = 6.5836 Å, b = 6.5836 Å, c = 8.8501 Å
α = 90.00°, β = 90.00°, γ = 120.00°
With the nearest neighbours (Å) after each atom.
Fractional positions:
Ti: 0.0000 0.0000 0.0000  6 S 2.43
Tl: 0.0000 0.0000 0.5000  6 S 3.33
P: 0.3333 0.6667 0.7518  4 S 1.98-2.08
P: 0.6667 0.3333 0.2482  4 S 1.98-2.08
S: 0.1584 0.3167 0.8165  1 P 2.08
S: 0.1584 0.8416 0.8165  1 P 2.08
S: 0.6833 0.8416 0.8165  1 P 2.08
S: 0.3167 0.1584 0.1835  1 P 2.08
S: 0.6667 0.3333 0.4714  1 P 1.98
S: 0.3333 0.6667 0.5286  1 P 1.98
S: 0.8416 0.6833 0.1835  1 P 2.08
S: 0.8416 0.1584 0.1835  1 P 2.08

***

5.
Computed, not measured: a geometry-optimized Ce8ThTl2 structure at the PBE level of DFT.

Output
density of states at the Fermi level	30.743	states/eV/cell
symmetry	C2/m
energy relative to the elements	0.015	eV per atom

a = 5.1588 Å, b = 9.7999 Å, c = 9.7999 Å
α = 39.27°, β = 97.55°, γ = 97.55°
With the nearest neighbours (Å) after each atom.
Fractional positions:
Ce: 0.3715 0.1258 0.6400  2 Ce 2.76-2.80
Ce: 0.3715 0.6400 0.1258  2 Ce 2.76-2.80
Ce: 0.6285 0.8742 0.3600  2 Ce 2.76-2.80
Ce: 0.2349 0.5502 0.5502  3 Ce 2.80-2.84
Ce: 0.6285 0.3600 0.8742  2 Ce 2.76-2.80
Ce: 0.2835 0.1797 0.1797  2 Ce 2.76
Ce: 0.7165 0.8203 0.8203  2 Ce 2.76
Ce: 0.7651 0.4498 0.4498  3 Ce 2.80-2.84
Th: 0.0000 0.0000 0.0000  10 Ce 3.43-3.59
Tl: 0.8333 0.2832 0.2832  7 Ce 3.14-3.49
Tl: 0.1667 0.7168 0.7168  7 Ce 3.14-3.49

***

6.
Computed, not measured: a geometry-optimized Ce6Zn2Ir structure at the PBE level of DFT.

Output
density of states at the Fermi level	40.953	states/eV/cell
symmetry	P2_1/c
energy relative to the elements	-0.195	eV per atom

a = 5.9324 Å, b = 8.5896 Å, c = 8.6076 Å
α = 90.00°, β = 84.59°, γ = 90.00°
With the nearest neighbours (Å) after each atom.
Fractional positions:
Ce: 0.8545 0.9536 0.1955  2 Ce 2.83-2.85, 1 Ir 2.86, 1 Zn 3.10
Ce: 0.8370 0.6745 0.4967  2 Ce 2.83, 1 Ir 2.96, 3 Zn 2.98-3.15
Ce: 0.8986 0.7015 0.9789  2 Ce 2.83-2.85, 1 Ir 2.92, 2 Zn 3.06-3.07
Ce: 0.6014 0.2015 0.5211  2 Ce 2.83-2.85, 1 Ir 2.92, 2 Zn 3.06-3.07
Ce: 0.6630 0.1745 0.0033  2 Ce 2.83, 1 Ir 2.96, 3 Zn 2.98-3.15
Ce: 0.6455 0.4536 0.3045  2 Ce 2.83-2.85, 1 Ir 2.86, 1 Zn 3.10
Ce: 0.1455 0.0464 0.8045  2 Ce 2.83-2.85, 1 Ir 2.86, 1 Zn 3.10
Ce: 0.1630 0.3255 0.5033  2 Ce 2.83, 1 Ir 2.96, 3 Zn 2.98-3.15
Ce: 0.1014 0.2985 0.0211  2 Ce 2.83-2.85, 1 Ir 2.92, 2 Zn 3.06-3.07
Ce: 0.3986 0.7985 0.4789  2 Ce 2.83-2.85, 1 Ir 2.92, 2 Zn 3.06-3.07
Ce: 0.3370 0.8255 0.9967  2 Ce 2.83, 1 Ir 2.96, 3 Zn 2.98-3.15
Ce: 0.3545 0.5464 0.6955  2 Ce 2.83-2.85, 1 Ir 2.86, 1 Zn 3.10
Zn: 0.8261 0.4236 0.7643  1 Ir 2.75, 4 Ce 2.98-3.07
Zn: 0.6739 0.9236 0.7357  1 Ir 2.75, 4 Ce 2.98-3.07
Zn: 0.3261 0.0764 0.2643  1 Ir 2.75, 4 Ce 2.98-3.07
Zn: 0.1739 0.5764 0.2357  1 Ir 2.75, 4 Ce 2.98-3.07
Ir: 0.5000 0.5000 0.0000  2 Zn 2.75, 6 Ce 2.86-2.96
Ir: 0.0000 0.0000 0.5000  2 Zn 2.75, 6 Ce 2.86-2.96

***

7.
Computed, not measured: a geometry-optimized BePtPb2 structure at the PBE level of DFT.

Output
density of states at the Fermi level	1.118	states/eV/cell
symmetry	Cm
energy relative to the elements	-0.217	eV per atom

a = 3.8970 Å, b = 3.8970 Å, c = 7.4625 Å
α = 74.64°, β = 74.64°, γ = 60.05°
With the nearest neighbours (Å) after each atom.
Fractional positions:
Pb: 0.9701 0.9701 0.0939  3 Be 3.00-3.01, 3 Pt 3.01
Pb: 0.7801 0.7801 0.6565  3 Pt 3.01, 3 Be 3.01-3.02
Be: 0.2083 0.2083 0.3743  3 Pt 2.25
Pt: 0.5414 0.5414 0.3754  3 Be 2.25

***

8.
Computed, not measured: a geometry-optimized Ho2PuTe3 structure at the PBE level of DFT.

Output
density of states at the Fermi level	10.364	states/eV/cell
symmetry	Immm
uncorrected formation energy	-1220	meV per atom

a = 4.3488 Å, b = 6.1754 Å, c = 7.5770 Å
α = 114.05°, β = 106.68°, γ = 90.00°
With the nearest neighbours (Å) after each atom.
Fractional positions:
Ho: 0.8343 0.8343 0.1687  6 Te 3.06-3.09
Ho: 0.1657 0.1657 0.8313  6 Te 3.06-3.09
Pu: 0.5000 0.5000 0.5000  6 Te 3.09-3.12
Te: 0.8298 0.3298 0.1597  4 Ho 3.06-3.09, 2 Pu 3.12
Te: 0.1702 0.6702 0.8403  4 Ho 3.06-3.09, 2 Pu 3.12
Te: 0.5000 0.0000 0.5000  4 Ho 3.08, 2 Pu 3.09

***

9.
Computed, not measured: a geometry-optimized ZrFe4P2 structure at the PBE level of DFT.

Output
density of states at the Fermi level	13.537	states/eV/cell
symmetry	P4_2/mnm
energy relative to the elements	-0.701	eV per atom

a = 6.8757 Å, b = 6.8757 Å, c = 3.6360 Å
α = 90.00°, β = 90.00°, γ = 90.00°
With the nearest neighbours (Å) after each atom.
Fractional positions:
Fe: 0.0859 0.3417 0.0000  3 P 2.26-2.30, 6 Fe 2.48-2.52
Fe: 0.9141 0.6583 0.0000  3 P 2.26-2.30, 6 Fe 2.48-2.52
Fe: 0.1583 0.5859 0.5000  3 P 2.26-2.30, 6 Fe 2.48-2.52
Fe: 0.8417 0.4141 0.5000  3 P 2.26-2.30, 6 Fe 2.48-2.52
Fe: 0.4141 0.8417 0.5000  3 P 2.26-2.30, 6 Fe 2.48-2.52
Fe: 0.5859 0.1583 0.5000  3 P 2.26-2.30, 6 Fe 2.48-2.52
Fe: 0.3417 0.0859 0.0000  3 P 2.26-2.30, 6 Fe 2.48-2.52
Fe: 0.6583 0.9141 0.0000  3 P 2.26-2.30, 6 Fe 2.48-2.52
P: 0.2178 0.7822 0.0000  6 Fe 2.26-2.30
P: 0.7822 0.2178 0.0000  6 Fe 2.26-2.30
P: 0.7178 0.7178 0.5000  6 Fe 2.26-2.30
P: 0.2822 0.2822 0.5000  6 Fe 2.26-2.30
Zr: 0.0000 0.0000 0.5000  6 P 2.74-2.79, 12 Fe 3.03-3.05
Zr: 0.5000 0.5000 0.0000  6 P 2.74-2.79, 12 Fe 3.03-3.05

***

10.
Computed, not measured: a geometry-optimized NaCo3C structure at the PBE level of DFT.

Output
density of states at the Fermi level	5.367	states/eV/cell
symmetry	Pm-3m
energy relative to the elements	0.362	eV per atom

a = 3.8275 Å, b = 3.8275 Å, c = 3.8275 Å
α = 90.00°, β = 90.00°, γ = 90.00°
With the nearest neighbours (Å) after each atom.
Fractional positions:
Na: 0.5000 0.5000 0.5000  12 Co 2.71
C: 0.0000 0.0000 0.0000  6 Co 1.91
Co: 0.0000 0.5000 0.0000  2 C 1.91
Co: 0.0000 0.0000 0.5000  2 C 1.91
Co: 0.5000 0.0000 0.0000  2 C 1.91

***

Q: Which value of density of states at the Fermi level does entry 8 give?
A: 10.364 states/eV/cell